(1)
DFT (PBE-GGA) results for a relaxed Tm12In5Ga2 crystal.

Cell: 8.261 8.261 7.742 Å, 96.68 96.68 78.27°
Atoms (fractional coordinates):
Tm: 0.073 0.073 0.204
Tm: 0.118 0.656 0.124
Tm: 0.154 0.548 0.684
Tm: 0.344 0.882 0.876
Tm: 0.380 0.380 0.351
Tm: 0.452 0.846 0.316
Tm: 0.548 0.154 0.684
Tm: 0.620 0.620 0.649
Tm: 0.656 0.118 0.124
Tm: 0.846 0.452 0.316
Tm: 0.882 0.344 0.876
Tm: 0.927 0.927 0.796
In: 0.171 0.171 0.587
In: 0.261 0.261 0.971
In: 0.500 0.500 0.000
In: 0.739 0.739 0.029
In: 0.829 0.829 0.413
Ga: 0.180 0.820 0.500
Ga: 0.820 0.180 0.500

density: 8.90 Mg/m³
energy of formation: -245 meV/atom

(2)
DFT (PBE-GGA) results for a relaxed Tm3In2Ga crystal.

Cell: 3.467 3.467 12.163 Å, 90.00 90.00 90.00°
Atoms (fractional coordinates):
Tm: 0.000 0.000 0.000
Tm: 0.000 0.000 0.348
Tm: 0.000 0.000 0.652
In: 0.500 0.500 0.173
In: 0.500 0.500 0.827
Ga: 0.500 0.500 0.500

density: 9.15 Mg/m³
energy above the most stable polymorph in this dataset: 0 meV per atom
energy of formation: -468 meV/atom

(3)
DFT (PBE-GGA) results for a relaxed TmInGa crystal.

Cell: 3.440 3.440 11.711 Å, 90.00 90.00 90.00°
Atoms (fractional coordinates):
Tm: 0.000 0.000 0.000
Tm: 0.500 0.500 0.500
In: 0.000 0.000 0.691
In: 0.500 0.500 0.191
Ga: 0.000 0.000 0.341
Ga: 0.500 0.500 0.841

density: 8.47 Mg/m³
energy above the most stable polymorph in this dataset: 145 meV per atom
energy of formation: -277 meV/atom